--- P ---
GaHg2Te GGA-PBE optimized geometry; calculated volume = 134.6 Å³/cell; ρ = 7.384 g/cm3
1.0
2.111 1.219 8.717
-2.111 1.219 8.717
0.000 -2.438 8.717
Ga Hg Te
1 2 1
Cartesian
0.000 0.000 0.000
0.000 0.000 2.582
0.000 0.000 23.568
0.000 0.000 13.075

***

--- Q ---
GaHg2Te GGA-PBE optimized geometry; calculated volume = 107.6 Å³/cell; ρ = 9.240 g/cm3
1.0
0.000 3.775 3.775
3.775 0.000 3.775
3.775 3.775 0.000
Ga Hg Te
1 2 1
Cartesian
0.000 0.000 0.000
1.887 1.887 1.887
5.662 5.662 5.662
3.775 3.775 3.775

***

It is P that is the least stable of them.

***

--- P ---
ThGaHg2 GGA-PBE optimized geometry; calculated volume = 97.9 Å³/cell; ρ = 11.924 g/cm3
1.0
0.000 3.658 3.658
3.658 0.000 3.658
3.658 3.658 0.000
Th Ga Hg
1 1 2
Cartesian
0.000 0.000 0.000
3.658 3.658 3.658
1.829 1.829 1.829
5.487 5.487 5.487

***

--- Q ---
ThGaHg2 GGA-PBE optimized geometry; calculated volume = 109.0 Å³/cell; ρ = 10.711 g/cm3
1.0
1.675 0.967 11.210
-1.675 0.967 11.210
0.000 -1.934 11.210
Th Ga Hg
1 1 2
Cartesian
0.000 0.000 0.000
0.000 0.000 16.814
0.000 0.000 3.214
0.000 0.000 30.415

***

It is Q that is the least stable of them.

***

--- P ---
ThGa2Hg GGA-PBE optimized geometry; calculated volume = 90.6 Å³/cell; ρ = 10.487 g/cm3
1.0
0.000 3.565 3.565
3.565 0.000 3.565
3.565 3.565 0.000
Th Ga Hg
1 2 1
Cartesian
0.000 0.000 0.000
1.782 1.782 1.782
5.347 5.347 5.347
3.565 3.565 3.565

***

--- Q ---
ThGa2Hg GGA-PBE optimized geometry; calculated volume = 92.5 Å³/cell; ρ = 10.272 g/cm3
1.0
4.607 0.000 0.000
0.000 4.607 0.000
0.000 0.000 4.357
Th Ga Hg
1 2 1
Cartesian
0.000 0.000 0.000
0.000 2.303 2.179
2.303 0.000 2.179
2.303 2.303 0.000

***

It is P that is the least stable of them.

***

--- P ---
TiGaHg3 GGA-PBE optimized geometry; calculated volume = 157.4 Å³/cell; ρ = 7.588 g/cm3
1.0
5.399 0.000 0.000
0.000 5.399 0.000
0.000 0.000 5.399
Ti Ga Hg
1 1 3
Cartesian
0.000 0.000 0.000
2.700 2.700 2.700
0.000 0.000 2.700
0.000 2.700 0.000
2.700 0.000 0.000

***

--- Q ---
TiGaHg3 GGA-PBE optimized geometry; calculated volume = 129.0 Å³/cell; ρ = 9.259 g/cm3
1.0
5.053 0.000 0.000
0.000 5.053 0.000
0.000 0.000 5.053
Ti Ga Hg
1 1 3
Cartesian
0.000 0.000 0.000
2.526 2.526 2.526
0.000 2.526 2.526
2.526 0.000 2.526
2.526 2.526 0.000

***

It is Q that is the least stable of them.

***

--- P ---
Tl3GaHg5 GGA-PBE optimized geometry; calculated volume = 249.1 Å³/cell; ρ = 11.239 g/cm3
1.0
8.328 0.000 0.000
-4.164 7.213 0.000
0.000 0.000 4.147
Tl Ga Hg
3 1 5
Cartesian
-2.513 4.353 0.000
1.651 2.859 0.000
5.027 0.000 0.000
0.000 0.000 0.000
-1.066 1.846 2.073
2.132 0.000 2.073
0.000 4.808 2.073
4.164 2.404 2.073
3.098 5.366 2.073

***

--- Q ---
Tl3GaHg5 GGA-PBE optimized geometry; calculated volume = 501.6 Å³/cell; ρ = 11.162 g/cm3
1.0
9.755 0.000 0.000
-4.878 8.448 0.000
0.000 0.000 6.086
Tl Ga Hg
6 2 10
Cartesian
-1.882 3.259 1.522
-2.996 5.189 4.565
3.764 0.000 1.522
1.882 3.259 4.565
5.992 0.000 4.565
2.996 5.189 1.522
0.000 0.000 0.000
0.000 0.000 3.043
-1.306 2.262 4.565
-3.572 6.186 1.522
2.612 0.000 4.565
1.306 2.262 1.522
0.000 5.632 0.000
0.000 5.632 3.043
4.878 2.816 0.000
4.878 2.816 3.043
7.143 0.000 1.522
3.572 6.186 4.565

***

It is Q that is the least stable of them.

***

--- P ---
Tl4GaHg2 GGA-PBE optimized geometry; calculated volume = 206.1 Å³/cell; ρ = 10.383 g/cm3
1.0
4.579 -4.665 0.000
4.579 4.665 0.000
0.000 0.000 4.823
Tl Ga Hg
4 1 2
Cartesian
2.290 2.333 2.411
4.579 2.947 0.000
2.290 -2.333 2.411
4.579 -2.947 0.000
4.579 0.000 2.411
2.826 0.000 0.000
6.333 0.000 0.000

***

--- Q ---
Tl4GaHg2 GGA-PBE optimized geometry; calculated volume = 241.9 Å³/cell; ρ = 8.844 g/cm3
1.0
-2.785 2.785 7.795
2.785 -2.785 7.795
2.785 2.785 -7.795
Tl Ga Hg
4 1 2
Cartesian
2.785 0.000 0.000
0.000 0.000 2.906
0.000 2.785 0.000
0.000 0.000 12.684
0.000 0.000 0.000
0.000 0.000 5.945
0.000 0.000 9.645

***

It is Q that is the least stable of them.

***

--- P ---
Tl2GaHg6 GGA-PBE optimized geometry; calculated volume = 247.9 Å³/cell; ρ = 11.266 g/cm3
1.0
8.688 0.000 0.000
-4.344 7.524 0.000
0.000 0.000 3.792
Tl Ga Hg
2 1 6
Cartesian
0.000 5.016 0.000
4.344 2.508 0.000
0.000 0.000 1.896
-1.156 2.002 0.000
-2.730 4.728 1.896
2.312 0.000 0.000
1.615 2.797 1.896
5.459 0.000 1.896
3.188 5.522 0.000

***

--- Q ---
Tl2GaHg6 GGA-PBE optimized geometry; calculated volume = 505.2 Å³/cell; ρ = 11.058 g/cm3
1.0
3.564 0.000 0.000
0.000 15.479 0.000
-3.482 0.000 9.159
Tl Ga Hg
4 2 12
Cartesian
0.011 3.196 2.266
-1.730 4.544 6.845
1.811 10.935 2.313
0.070 12.283 6.893
-1.741 0.000 4.579
0.000 7.739 0.000
-1.730 9.836 5.312
0.011 13.382 0.733
0.033 8.134 2.906
-1.708 15.084 7.485
-1.706 9.961 8.469
0.036 13.258 3.889
0.046 2.221 5.269
1.787 5.518 0.690
1.790 0.394 1.674
0.048 7.345 6.253
0.070 2.097 8.426
1.811 5.642 3.847

***

It is P that is the least stable of them.

***

--- P ---
TlGa3Hg GGA-PBE optimized geometry; calculated volume = 473.9 Å³/cell; ρ = 8.607 g/cm3
1.0
6.373 0.000 0.000
0.000 11.479 0.000
-4.223 0.000 6.479
Tl Ga Hg
4 12 4
Cartesian
0.532 0.138 1.623
-1.580 5.601 4.862
3.729 5.878 1.617
1.618 11.340 4.856
0.979 7.501 0.312
-1.133 9.717 3.551
-1.569 0.604 4.859
0.543 5.135 1.620
0.082 7.498 2.930
-2.030 9.720 6.169
4.179 1.759 0.310
2.067 3.980 3.549
1.606 6.344 4.859
3.718 10.874 1.619
3.282 1.762 2.927
1.170 3.977 6.167
1.598 2.866 0.005
-0.514 2.873 3.244
2.663 8.605 3.235
0.551 8.613 6.474

***

--- Q ---
TlGa3Hg GGA-PBE optimized geometry; calculated volume = 146.5 Å³/cell; ρ = 6.962 g/cm3
1.0
5.271 0.000 0.000
0.000 5.271 0.000
0.000 0.000 5.271
Tl Ga Hg
1 3 1
Cartesian
0.000 0.000 0.000
0.000 2.636 2.636
2.636 0.000 2.636
2.636 2.636 0.000
2.636 2.636 2.636

***

It is Q that is the least stable of them.